The following is a PBE calculation of CaTc2Pt after structural relaxation, from Alexandria.

Calculated values
Fermi-level density of states = 1.28 states/eV per atom
Symmetry = No. 65
Formation energy from the elements = 0.335 eV per atom
Offset from the most stable computed form = 31.6 kJ per mole of atoms
Calculated volume = 67.0 Å³/f.u.
E_tot = -6.858 eV per atom

Cell lengths 5.326, 5.326, 2.686 Å; angles 90.00, 90.00, 118.49 degrees
Element x y z (fractional)
1 Ca 0.500 0.000 0.500
2 Tc 0.000 0.000 0.000
3 Tc 0.500 0.500 0.000
4 Pt 0.000 0.500 0.500

The following is a PBE calculation of CaTcPt after structural relaxation, from Alexandria.

Calculated values
Fermi-level density of states = 0.77 states/eV per atom
Symmetry = No. 216
Formation energy from the elements = 1.024 eV per atom
Offset from the most stable computed form = 97.6 kJ per mole of atoms
Calculated volume = 67.4 Å³/f.u.
E_tot = -5.112 eV per atom

Cell lengths 4.569, 4.569, 4.569 Å; angles 60.00, 60.00, 60.00 degrees
Each line ends with the local moment (μB).
Element x y z (fractional)
1 Ca 0.750 0.750 0.750  0.04
2 Tc 0.500 0.500 0.500  2.67
3 Pt 0.000 0.000 0.000  0.17

The following is a PBE calculation of CaTc2Pt after structural relaxation, from Alexandria.

Calculated values
Fermi-level density of states = 1.18 states/eV per atom
Symmetry = No. 139
Formation energy from the elements = 0.300 eV per atom
Offset from the most stable computed form = 28.1 kJ per mole of atoms
Calculated volume = 68.3 Å³/f.u.
E_tot = -6.894 eV per atom

Cell lengths 5.319, 5.319, 5.319 Å; angles 137.33, 137.33, 61.92 degrees
Element x y z (fractional)
1 Ca 0.250 0.750 0.500
2 Tc 0.000 0.000 0.000
3 Tc 0.500 0.500 0.000
4 Pt 0.750 0.250 0.500

The following is a PBE calculation of CaTcPt after structural relaxation, from Alexandria.

Calculated values
Fermi-level density of states = 1.44 states/eV per atom
Symmetry = No. 216
Formation energy from the elements = 0.367 eV per atom
Offset from the most stable computed form = 34.3 kJ per mole of atoms
Calculated volume = 65.8 Å³/f.u.
E_tot = -5.769 eV per atom

Cell lengths 4.531, 4.531, 4.531 Å; angles 60.00, 60.00, 60.00 degrees
Each line ends with the local moment (μB).
Element x y z (fractional)
1 Ca 0.500 0.500 0.500  0.00
2 Tc 0.000 0.000 0.000  1.36
3 Pt 0.750 0.750 0.750  0.18

The following is a PBE calculation of CaTc2Pt after structural relaxation, from Alexandria.

Calculated values
Fermi-level density of states = 1.18 states/eV per atom
Symmetry = No. 225
Formation energy from the elements = 0.595 eV per atom
Offset from the most stable computed form = 56.6 kJ per mole of atoms
Calculated volume = 67.3 Å³/f.u.
E_tot = -6.599 eV per atom

Cell lengths 4.566, 4.566, 4.566 Å; angles 60.00, 60.00, 60.00 degrees
Each line ends with the local moment (μB).
Element x y z (fractional)
1 Ca 0.000 0.000 0.000  0.04
2 Tc 0.250 0.250 0.250  0.73
3 Tc 0.750 0.750 0.750  0.73
4 Pt 0.500 0.500 0.500  0.17

The following is a PBE calculation of CaTc4Pt after structural relaxation, from Alexandria.

Calculated values
Fermi-level density of states = 1.20 states/eV per atom
Symmetry = No. 216
Formation energy from the elements = 0.282 eV per atom
Calculated volume = 101.1 Å³/f.u.
E_tot = -7.969 eV per atom

Cell lengths 5.229, 5.229, 5.229 Å; angles 60.00, 60.00, 60.00 degrees
Element x y z (fractional)
1 Ca 0.750 0.750 0.750
2 Tc 0.877 0.374 0.374
3 Tc 0.374 0.374 0.877
4 Tc 0.374 0.877 0.374
5 Tc 0.374 0.374 0.374
6 Pt 0.000 0.000 0.000

The following is a PBE calculation of CaTc2Pt after structural relaxation, from Alexandria.

Calculated values
Fermi-level density of states = 0.89 states/eV per atom
Symmetry = No. 123
Formation energy from the elements = 0.343 eV per atom
Offset from the most stable computed form = 32.3 kJ per mole of atoms
Calculated volume = 68.2 Å³/f.u.
E_tot = -6.851 eV per atom

Cell lengths 2.735, 2.735, 9.121 Å; angles 90.00, 90.00, 89.98 degrees
Element x y z (fractional)
1 Ca 0.500 0.500 0.250
2 Tc 0.000 0.000 0.972
3 Tc 0.000 0.000 0.528
4 Pt 0.500 0.500 0.750

The following is a PBE calculation of CaTc2Pt after structural relaxation, from Alexandria.

Calculated values
Fermi-level density of states = 0.85 states/eV per atom
Symmetry = No. 8
Formation energy from the elements = 0.173 eV per atom
Offset from the most stable computed form = 15.9 kJ per mole of atoms
Calculated volume = 72.4 Å³/f.u.
E_tot = -7.021 eV per atom

Cell lengths 4.749, 4.749, 5.669 Å; angles 81.62, 81.62, 34.95 degrees
Element x y z (fractional)
1 Ca 0.496 0.496 0.520
2 Tc 0.001 0.001 0.037
3 Tc 0.266 0.266 0.167
4 Pt 0.738 0.738 0.777

The following is a PBE calculation of Ca2TcPt after structural relaxation, from Alexandria.

Calculated values
Fermi-level density of states = 0.81 states/eV per atom
Symmetry = No. 122
Formation energy from the elements = 0.370 eV per atom
Offset from the most stable computed form = 33.8 kJ per mole of atoms
Calculated volume = 92.1 Å³/f.u.
E_tot = -4.733 eV per atom

Cell lengths 7.932, 7.932, 6.327 Å; angles 51.18, 51.18, 90.00 degrees
Each line ends with the local moment (μB).
Element x y z (fractional)
1 Ca 0.647 0.125 0.250  -0.02
2 Ca 0.103 0.625 0.250  -0.02
3 Ca 0.375 0.353 0.750  -0.02
4 Ca 0.875 0.897 0.750  -0.02
5 Tc 0.500 0.500 0.000  2.12
6 Tc 0.250 0.750 0.500  2.12
7 Pt 0.000 0.000 0.000  0.16
8 Pt 0.750 0.250 0.500  0.16

The following is a PBE calculation of CaTc2Pt after structural relaxation, from Alexandria.

Calculated values
Fermi-level density of states = 1.04 states/eV per atom
Symmetry = No. 123
Formation energy from the elements = 0.424 eV per atom
Offset from the most stable computed form = 40.2 kJ per mole of atoms
Calculated volume = 76.8 Å³/f.u.
E_tot = -6.770 eV per atom

Cell lengths 3.387, 3.387, 6.692 Å; angles 90.00, 90.00, 90.00 degrees
Element x y z (fractional)
1 Ca 0.500 0.500 0.250
2 Tc 0.000 0.000 0.930
3 Tc 0.000 0.000 0.570
4 Pt 0.500 0.500 0.750

The following is a PBE calculation of Ca2TcPt after structural relaxation, from Alexandria.

Calculated values
Fermi-level density of states = 1.37 states/eV per atom
Symmetry = No. 25
Formation energy from the elements = 0.083 eV per atom
Offset from the most stable computed form = 6.1 kJ per mole of atoms
Calculated volume = 99.6 Å³/f.u.
E_tot = -5.020 eV per atom

Cell lengths 3.190, 3.689, 8.462 Å; angles 90.00, 90.00, 90.00 degrees
Element x y z (fractional)
1 Ca 0.000 0.000 0.928
2 Ca 0.500 0.500 0.329
3 Tc 0.500 0.500 0.680
4 Pt 0.000 0.000 0.563

The following is a PBE calculation of Ca2TcPt after structural relaxation, from Alexandria.

Calculated values
Fermi-level density of states = 1.34 states/eV per atom
Symmetry = No. 35
Formation energy from the elements = 0.078 eV per atom
Offset from the most stable computed form = 5.7 kJ per mole of atoms
Calculated volume = 101.5 Å³/f.u.
E_tot = -5.025 eV per atom

Cell lengths 3.470, 3.470, 8.479 Å; angles 90.00, 90.00, 96.25 degrees
Element x y z (fractional)
1 Ca 0.000 0.000 0.927
2 Ca 0.500 0.500 0.328
3 Tc 0.500 0.500 0.680
4 Pt 0.000 0.000 0.565

The following is a PBE calculation of Ca2TcPt after structural relaxation, from Alexandria.

Calculated values
Fermi-level density of states = 1.20 states/eV per atom
Symmetry = No. 139
Formation energy from the elements = 0.149 eV per atom
Offset from the most stable computed form = 12.5 kJ per mole of atoms
Calculated volume = 83.8 Å³/f.u.
E_tot = -4.954 eV per atom

Cell lengths 5.269, 5.269, 5.269 Å; angles 129.98, 129.95, 73.46 degrees
Each line ends with the local moment (μB).
Element x y z (fractional)
1 Ca 0.000 0.000 0.000  -0.01
2 Ca 0.500 0.500 0.000  -0.01
3 Tc 0.250 0.750 0.500  1.49
4 Pt 0.750 0.250 0.500  0.10

The following is a PBE calculation of CaTc2Pt after structural relaxation, from Alexandria.

Calculated values
Fermi-level density of states = 1.24 states/eV per atom
Symmetry = No. 99
Formation energy from the elements = 0.008 eV per atom
Offset from the most stable computed form = 0.0 kJ per mole of atoms
Calculated volume = 71.5 Å³/f.u.
E_tot = -7.186 eV per atom

Cell lengths 3.024, 3.024, 7.820 Å; angles 90.00, 90.00, 90.00 degrees
Element x y z (fractional)
1 Ca 0.000 0.000 0.504
2 Tc 0.000 0.000 0.023
3 Tc 0.500 0.500 0.196
4 Pt 0.500 0.500 0.777

The following is a PBE calculation of CaTc2Pt after structural relaxation, from Alexandria.

Calculated values
Fermi-level density of states = 1.44 states/eV per atom
Symmetry = No. 122
Formation energy from the elements = 0.617 eV per atom
Offset from the most stable computed form = 58.8 kJ per mole of atoms
Calculated volume = 78.1 Å³/f.u.
E_tot = -6.577 eV per atom

Cell lengths 7.800, 7.800, 6.084 Å; angles 50.14, 50.14, 90.00 degrees
Element x y z (fractional)
1 Ca 0.500 0.500 0.000
2 Ca 0.250 0.750 0.500
3 Tc 0.675 0.125 0.250
4 Tc 0.075 0.625 0.250
5 Tc 0.375 0.325 0.750
6 Tc 0.875 0.925 0.750
7 Pt 0.000 0.000 0.000
8 Pt 0.750 0.250 0.500

The following is a PBE calculation of CaTcPt4 after structural relaxation, from Alexandria.

Calculated values
Fermi-level density of states = 0.75 states/eV per atom
Symmetry = No. 216
Formation energy from the elements = -0.199 eV per atom
Calculated volume = 108.2 Å³/f.u.
E_tot = -6.288 eV per atom

Cell lengths 5.349, 5.349, 5.349 Å; angles 60.00, 60.00, 60.00 degrees
Each line ends with the local moment (μB).
Element x y z (fractional)
1 Ca 0.000 0.000 0.000  0.02
2 Tc 0.750 0.750 0.750  3.01
3 Pt 0.874 0.375 0.375  0.07
4 Pt 0.375 0.375 0.874  0.07
5 Pt 0.375 0.874 0.375  0.07
6 Pt 0.375 0.375 0.375  0.07

The following is a PBE calculation of CaTcPt after structural relaxation, from Alexandria.

Calculated values
Fermi-level density of states = 1.28 states/eV per atom
Symmetry = No. 107
Formation energy from the elements = 0.043 eV per atom
Offset from the most stable computed form = 3.0 kJ per mole of atoms
Calculated volume = 55.5 Å³/f.u.
E_tot = -6.093 eV per atom

Cell lengths 6.799, 6.799, 2.927 Å; angles 77.57, 77.57, 24.86 degrees
Element x y z (fractional)
1 Ca 0.998 0.998 0.002
2 Tc 0.686 0.686 0.314
3 Pt 0.316 0.316 0.684

The following is a PBE calculation of CaTcPt after structural relaxation, from Alexandria.

Calculated values
Fermi-level density of states = 1.09 states/eV per atom
Symmetry = No. 187
Formation energy from the elements = 0.122 eV per atom
Offset from the most stable computed form = 10.6 kJ per mole of atoms
Calculated volume = 54.5 Å³/f.u.
E_tot = -6.014 eV per atom

Cell lengths 4.731, 4.731, 2.815 Å; angles 90.00, 90.00, 120.00 degrees
Element x y z (fractional)
1 Ca 0.000 0.000 0.000
2 Tc 0.333 0.667 0.500
3 Pt 0.667 0.333 0.500

The following is a PBE calculation of Ca2TcPt after structural relaxation, from Alexandria.

Calculated values
Fermi-level density of states = 0.82 states/eV per atom
Symmetry = No. 65
Formation energy from the elements = 0.114 eV per atom
Offset from the most stable computed form = 9.2 kJ per mole of atoms
Calculated volume = 81.8 Å³/f.u.
E_tot = -4.989 eV per atom

Cell lengths 7.240, 5.356, 2.936 Å; angles 90.05, 66.00, 124.36 degrees
Element x y z (fractional)
1 Ca 0.000 0.000 0.000
2 Ca 0.500 0.000 0.500
3 Tc 0.500 0.500 0.000
4 Pt 0.000 0.500 0.500

The following is a PBE calculation of CaTcPt after structural relaxation, from Alexandria.

Calculated values
Fermi-level density of states = 0.81 states/eV per atom
Symmetry = No. 44
Formation energy from the elements = 0.012 eV per atom
Offset from the most stable computed form = 0.0 kJ per mole of atoms
Calculated volume = 60.3 Å³/f.u.
E_tot = -6.124 eV per atom

Cell lengths 5.804, 5.804, 5.804 Å; angles 151.58, 139.43, 50.27 degrees
Element x y z (fractional)
1 Ca 0.004 0.004 0.000
2 Tc 0.289 0.289 0.000
3 Pt 0.707 0.707 0.000

Magnetic moment? In order: 0.00, 1.07, 0.00, 0.56, 0.46, 0.00, 0.00, 0.00, 0.62, 0.00, 0.00, 0.00, 0.43, 0.00, 0.00, 0.61, 0.00, 0.00, 0.00, 0.00 μB/atom.